# 1
Computed, not measured: crystalline LiDy2Cu2O6 at its relaxed geometry at the PBE level of DFT.

abc: 5.6302 5.6302 15.7737
angles: 90.00 90.00 120.00
Space group R-3m (No. 166, hexagonal axes)
Asymmetric unit:
Li1 0.0000 0.0000 0.0000 [3 per cell]
Dy1 0.0000 0.0000 0.1988 [6 per cell]
Cu1 0.0000 0.0000 0.4166 [6 per cell]
O1 0.0357 0.5179 0.7609 [18 per cell]

Calculated values
Its density is 6.39 g/cm³. For the energy relative to the elements, uncorrected, the calculation gives -1.612 eV/atom.

=====

# 2
Computed, not measured: crystalline Zr3TlH at its relaxed geometry at the PBE level of DFT.

abc: 5.091 5.091 22.265
angles: 90.00 90.00 90.00
Space group I-4m2 (No. 119)
Asymmetric unit:
Zr1 0.000 0.000 0.192 [4 per cell]
Zr2 0.000 0.251 0.629 [8 per cell]
Tl1 0.000 0.000 0.500 [2 per cell]
Tl2 0.000 0.500 0.750 [2 per cell]
H1 0.000 0.500 0.154 [4 per cell]

Calculated values
Its density is 5.52 g/cm³.

=====

# 3
Computed, not measured: crystalline TcS4F at its relaxed geometry at the PBE level of DFT.

abc: 6.475 7.107 7.780
angles: 112.82 108.90 100.04
Space group P-1 (No. 2)
Asymmetric unit:
Tc1 0.179 0.443 0.483 [2 per cell]
S1 0.112 0.531 0.781 [2 per cell]
S2 0.208 0.805 0.697 [2 per cell]
S3 0.326 0.165 0.476 [2 per cell]
S4 0.421 0.542 0.317 [2 per cell]
F1 0.001 0.293 0.793 [2 per cell]

Calculated values
Its density is 2.78 g/cm³. For the energy relative to the elements, uncorrected, the calculation gives -0.500 eV/atom.

=====

# 4
Computed, not measured: crystalline AcPaSi3 at its relaxed geometry at the PBE level of DFT.

abc: 4.399 25.668 4.012
angles: 90.00 90.00 90.00
Space group Cmcm (No. 63)
Asymmetric unit:
Ac1 0.000 0.073 0.250 [4 per cell]
Pa1 0.000 0.204 0.750 [4 per cell]
Si1 0.000 0.317 0.750 [4 per cell]
Si2 0.000 0.373 0.250 [4 per cell]
Si3 0.000 0.474 0.250 [4 per cell]

Calculated values
Its density is 7.95 g/cm³. For the energy relative to the elements, uncorrected, the calculation gives -0.490 eV/atom.

=====

# 5
Computed, not measured: crystalline LiSn3Pt at its relaxed geometry at the PBE level of DFT.

abc: 5.293 5.293 5.293
angles: 90.00 90.00 90.00
Space group Pm-3m (No. 221)
Asymmetric unit:
Li1 0.000 0.000 0.000 [1 per cell]
Sn1 0.000 0.500 0.500 [3 per cell]
Pt1 0.500 0.500 0.500 [1 per cell]

Calculated values
Its density is 6.25 g/cm³. The value obtained for the polymorph energy (0 for the lowest one) is 419 meV/atom.

=====

# 6
Computed, not measured: crystalline Co2P at its relaxed geometry at the PBE level of DFT.

abc: 2.9071 2.9071 9.6268
angles: 90.00 90.00 120.00
Space group P6_3/mmc (No. 194)
Asymmetric unit:
Co1 0.3333 0.6667 0.1071 [4 per cell]
P1 0.0000 0.0000 0.2500 [2 per cell]

Calculated values
Its density is 7.02 g/cm³.

=====

Number 1: VASP energy -200.4 eV for the cell shown, Fermi-level density of states 18.49 states/eV per cell. Number 2: VASP energy -106.3 eV for the cell shown, Fermi-level density of states 17.91 states/eV per cell. Number 3: VASP energy -63.5 eV for the cell shown, Fermi-level density of states 4.49 states/eV per cell. Number 4: VASP energy -129.3 eV for the cell shown, Fermi-level density of states 19.87 states/eV per cell. Number 5: VASP energy -19.6 eV for the cell shown, Fermi-level density of states 3.46 states/eV per cell. Number 6: VASP energy -40.2 eV for the cell shown, Fermi-level density of states 8.41 states/eV per cell.